No. 1
VASP calculation (PBE-GGA) on FeRh2C after structural relaxation.

Unit cell a=6.6237 b=6.6237 c=4.6987 alpha=90.00 beta=90.00 gamma=90.00
Space group I-42d (No. 122)
Inequivalent atoms, fractional coordinates:
Fe 0.0000 0.0000 0.0000 x4
Rh 0.1378 0.2500 0.6250 x8
C 0.0000 0.0000 0.5000 x4

No. 2
VASP calculation (PBE-GGA) on Ba6CdAs2Br3 after structural relaxation.

## Properties
Formation energy (no corrections) (eV/f.u.): -16.0

Unit cell a=21.3759 b=4.7920 c=9.9166 alpha=90.00 beta=103.20 gamma=90.00
Space group C2/m (No. 12)
Inequivalent atoms, fractional coordinates:
Ba 0.0107 0.0000 0.2564 x4
Ba 0.1664 0.5000 0.1114 x4
Ba 0.1754 0.5000 0.5672 x4
Cd 0.0000 0.5000 0.0000 x2
As 0.1671 0.0000 0.3379 x4
Br 0.0000 0.5000 0.5000 x2
Br 0.1685 0.0000 0.8321 x4

No. 3
VASP calculation (PBE-GGA) on RePbW3 after structural relaxation.

## Properties
Distance to the lowest polymorph of the same formula (eV/atom): 0.0000

Unit cell a=4.8329 b=4.8329 c=4.8329 alpha=90.00 beta=90.00 gamma=90.00
Space group Pm-3m (No. 221)
Inequivalent atoms, fractional coordinates:
Re 0.0000 0.0000 0.0000 x1
Pb 0.5000 0.5000 0.5000 x1
W 0.0000 0.0000 0.5000 x3

No. 4
VASP calculation (PBE-GGA) on AcMgSc2Au4 after structural relaxation.

Unit cell a=4.7798 b=4.7798 c=27.3778 alpha=90.00 beta=90.00 gamma=120.00
Space group R-3m (No. 166, hexagonal axes)
Inequivalent atoms, fractional coordinates:
Ac 0.0000 0.0000 0.0000 x3
Mg 0.0000 0.0000 0.5000 x3
Sc 0.0000 0.0000 0.2335 x6
Au 0.0000 0.0000 0.1255 x6
Au 0.0000 0.0000 0.4004 x6

No. 5
VASP calculation (PBE-GGA) on Nd4SbTe2Pb after structural relaxation.

## Properties
Formation energy (no corrections) (eV/f.u.): -9.6

Unit cell a=7.8490 b=4.5436 c=7.8540 alpha=90.00 beta=109.50 gamma=90.00
Space group P2/m (No. 10)
Inequivalent atoms, fractional coordinates:
Nd 0.2410 0.0000 0.2471 x2
Nd 0.2425 0.5000 0.7476 x2
Sb 0.0000 0.5000 0.0000 x1
Te 0.5000 0.0000 0.0000 x1
Te 0.5000 0.5000 0.5000 x1
Pb 0.0000 0.0000 0.5000 x1

No. 6
VASP calculation (PBE-GGA) on KSb2TeI after structural relaxation.

## Properties
Distance to the lowest polymorph of the same formula (eV/atom): 0.8305
Formation energy (no corrections) (eV/f.u.): 4.9

Unit cell a=6.2399 b=6.2399 c=5.8542 alpha=90.00 beta=90.00 gamma=90.00
Space group P4/mmm (No. 123)
Inequivalent atoms, fractional coordinates:
K 0.0000 0.0000 0.0000 x1
Sb 0.0000 0.5000 0.0000 x2
Te 0.5000 0.5000 0.5000 x1
I 0.0000 0.0000 0.5000 x1

No. 7
VASP calculation (PBE-GGA) on Ba2NdSb3Pd4 after structural relaxation.

## Properties
Formation energy (no corrections) (eV/f.u.): -8.4

Unit cell a=4.7420 b=4.7420 c=11.5472 alpha=90.00 beta=90.00 gamma=90.00
Space group P-4m2 (No. 115)
Inequivalent atoms, fractional coordinates:
Ba 0.0000 0.5000 0.2265 x2
Nd 0.0000 0.0000 0.5000 x1
Sb 0.0000 0.5000 0.8805 x2
Sb 0.5000 0.5000 0.5000 x1
Pd 0.0000 0.0000 0.0000 x1
Pd 0.0000 0.5000 0.6460 x2
Pd 0.5000 0.5000 0.0000 x1

No. 8
VASP calculation (PBE-GGA) on TmHfAs2Rh5 after structural relaxation.

Unit cell a=4.1839 b=4.1839 c=8.6143 alpha=90.00 beta=90.00 gamma=90.00
Space group P4/mmm (No. 123)
Inequivalent atoms, fractional coordinates:
Tm 0.0000 0.0000 0.0000 x1
Hf 0.0000 0.0000 0.5000 x1
As 0.5000 0.5000 0.3611 x2
Rh 0.0000 0.5000 0.2374 x4
Rh 0.5000 0.5000 0.0000 x1

No. 9
VASP calculation (PBE-GGA) on SrMo2Se after structural relaxation.

## Properties
Formation energy (no corrections) (eV/f.u.): 2.9

Unit cell a=3.1777 b=3.1777 c=27.7214 alpha=90.00 beta=90.00 gamma=120.00
Space group R-3m (No. 166, hexagonal axes)
Inequivalent atoms, fractional coordinates:
Sr 0.0000 0.0000 0.0000 x3
Mo 0.0000 0.0000 0.2334 x6
Se 0.0000 0.0000 0.5000 x3

No. 10
VASP calculation (PBE-GGA) on HoCoP2Ru after structural relaxation.

Unit cell a=3.8866 b=3.8866 c=9.6696 alpha=90.00 beta=90.00 gamma=90.00
Space group I-4m2 (No. 119)
Inequivalent atoms, fractional coordinates:
Ho 0.0000 0.0000 0.0000 x2
Co 0.0000 0.5000 0.2500 x2
P 0.0000 0.0000 0.3796 x4
Ru 0.0000 0.5000 0.7500 x2

In the order shown, the computed electronic total energy values come out to -124.203, -85.516, -45.443, -112.166, -42.781, -9.169, -50.151, -66.079, -71.678, -73.459 eV per cell.